Record 1
Material: LiAg2BrCl2
Method: DFT, PBE
State: optimized geometry

Lattice parameters (Å, degrees): 12.5328 7.3514 6.9227 90.00 90.00 90.00
Last column: nearest neighbours and their distance in Å.
Space group Cmc2_1 (No. 36)
Inequivalent atoms, fractional coordinates:
Li: 0.0000 0.1847 0.0000 x4  2 Cl 2.37, 2 Br 2.56-2.57
Ag: 0.1644 0.3277 0.4766 x8  3 Cl 2.62-2.64, 1 Br 2.70
Br: 0.0000 0.1413 0.6330 x4  2 Li 2.56-2.57, 2 Ag 2.70
Cl: 0.1593 0.3328 0.0984 x8  1 Li 2.37, 3 Ag 2.62-2.64

Calculated volume   637.8 Å³/cell
E_form (uncorrected)   -840 meV per atom
Fermi-level density of states   0.0000 states/eV per atom

Record 2
Material: AcAgCl4
Method: DFT, PBE
State: optimized geometry

Lattice parameters (Å, degrees): 7.0919 7.0292 7.0561 90.00 101.31 90.00
Last column: nearest neighbours and their distance in Å.
Space group Cm (No. 8)
Inequivalent atoms, fractional coordinates:
Ac: 0.0000 0.0000 0.0000 x2  8 Cl 3.01-3.03
Ag: 0.4992 0.0000 0.5005 x2  4 Cl 2.70
Cl: 0.1994 0.2508 0.7538 x4  1 Ag 2.70, 1 Ac 3.01
Cl: 0.3006 0.2491 0.2459 x4  1 Ag 2.70, 1 Ac 3.01

Calculated volume   344.9 Å³/cell
E_form (uncorrected)   -1741 meV per atom
Distance to the lowest polymorph of the same formula   0.0000 eV per atom
Fermi-level density of states   0.0000 states/eV per atom

Record 3
Material: InSnGe
Method: DFT, PBE
State: optimized geometry

Lattice parameters (Å, degrees): 6.9576 6.9576 6.9576 90.00 90.00 90.00
Last column: nearest neighbours and their distance in Å.
Space group F-43m (No. 216)
Inequivalent atoms, fractional coordinates:
In: 0.0000 0.0000 0.0000 x4  4 Ge 3.01
Sn: 0.0000 0.0000 0.5000 x4  4 Ge 3.01
Ge: 0.2500 0.2500 0.2500 x4  4 Sn 3.01, 4 In 3.01

Calculated volume   336.8 Å³/cell
Formation energy   4.01 kcal/mol of atoms
Distance to the lowest polymorph of the same formula   0.0533 eV per atom
Fermi-level density of states   1.2920 states/eV per atom

Record 4
Material: BeP2Ru
Method: DFT, PBE
State: optimized geometry

Lattice parameters (Å, degrees): 2.8553 3.5905 5.0361 90.00 90.00 90.00
Last column: nearest neighbours and their distance in Å.
Space group Pmm2 (No. 25)
Inequivalent atoms, fractional coordinates:
Be: 0.0000 0.0000 0.0000 x1  6 P 2.39-2.57
P: 0.0000 0.0000 0.5110 x1  4 Ru 2.40, 2 Be 2.46-2.57
P: 0.5000 0.5000 0.1325 x1  4 Be 2.39, 2 Ru 2.41-2.63
Ru: 0.5000 0.5000 0.6538 x1  6 P 2.40-2.63

Calculated volume   51.6 Å³/cell
Formation energy   0.40 kcal/mol of atoms
Fermi-level density of states   0.5172 states/eV per atom

Record 5
Material: SrCu4Pd2
Method: DFT, PBE
State: optimized geometry

Lattice parameters (Å, degrees): 7.2084 7.2084 5.7447 90.00 90.00 90.00
Last column: nearest neighbours and their distance in Å.
Space group I4/mmm (No. 139)
Inequivalent atoms, fractional coordinates:
Sr: 0.0000 0.0000 0.0000 x2  8 Cu 3.30
Cu: 0.0000 0.2252 0.5000 x8  2 Cu 2.30, 2 Pd 2.45
Pd: 0.0000 0.5000 0.2500 x4  4 Cu 2.45

Calculated volume   298.5 Å³/cell
Formation energy   4.25 kcal/mol of atoms
Fermi-level density of states   0.1965 states/eV per atom

Record 6
Material: Tb2NdSm2Ho
Method: DFT, PBE
State: optimized geometry

Lattice parameters (Å, degrees): 6.6490 17.9292 3.4039 90.00 90.00 90.00
Last column: nearest neighbours and their distance in Å.
Space group Pnnm (No. 58)
Inequivalent atoms, fractional coordinates:
Tb: 0.2319 0.1479 0.0000 x4  1 Ho 3.19, 4 Sm 3.38-3.47, 2 Tb 3.40, 2 Nd 3.51
Nd: 0.0000 0.0000 0.5000 x2  2 Nd 3.40, 4 Tb 3.51, 4 Ho 3.73
Sm: 0.2333 0.3163 0.5000 x4  4 Tb 3.38-3.47, 2 Sm 3.40, 1 Ho 3.64
Ho: 0.0000 0.5000 0.5000 x2  2 Tb 3.19, 2 Ho 3.40

Calculated volume   405.8 Å³/cell
Formation energy   6.12 kcal/mol of atoms
Fermi-level density of states   1.6861 states/eV per atom

Record 7
Material: Li6SbPd12
Method: DFT, PBE
State: optimized geometry

Lattice parameters (Å, degrees): 10.6527 10.6527 9.3458 90.00 90.00 120.00
Last column: nearest neighbours and their distance in Å.
Space group R-3m (No. 166, hexagonal axes)
Inequivalent atoms, fractional coordinates:
Li: 0.0918 0.1837 0.2495 x18  5 Pd 2.58-2.87, 1 Sb 2.89
Sb: 0.0000 0.0000 0.5000 x3  6 Pd 2.81, 6 Li 2.89
Pd: 0.0000 0.2640 0.5000 x18  4 Li 2.58-2.83, 6 Pd 2.72-2.82, 1 Sb 2.81
Pd: 0.0635 0.5317 0.6216 x18  7 Pd 2.56-2.82

Calculated volume   918.5 Å³/cell
E_form (uncorrected)   -250 meV per atom
Distance to the lowest polymorph of the same formula   0.1095 eV per atom
Fermi-level density of states   0.8177 states/eV per atom

Record 8
Material: FeTcPt
Method: DFT, PBE
State: optimized geometry

Lattice parameters (Å, degrees): 2.7232 2.7232 11.2507 90.00 90.00 90.00
Last column: nearest neighbours and their distance in Å.
Space group I4mm (No. 107)
Inequivalent atoms, fractional coordinates:
Fe: 0.0000 0.0000 0.0000 x2  4 Tc 2.57, 4 Pt 2.70, 4 Fe 2.72
Tc: 0.0000 0.0000 0.6514 x2  4 Fe 2.57, 4 Tc 2.72, 4 Pt 2.79
Pt: 0.0000 0.0000 0.3314 x2  4 Fe 2.70, 4 Pt 2.72, 4 Tc 2.79

Calculated volume   83.4 Å³/cell
Formation energy   -1.19 kcal/mol of atoms
Distance to the lowest polymorph of the same formula   0.0128 eV per atom
Fermi-level density of states   1.1738 states/eV per atom